(1)
RbPtS2N (PBE, optimized geometry); relative energy among the computed polymorphs = 216.49 kJ per mole of atoms; DFT total energy = -10.86 eV per cell; Fermi-level density of states = 7.34 states/eV/cell
1.0
6.557 0.000 0.000
0.000 6.557 0.000
0.000 0.000 5.991
Rb Pt S N
1 1 2 1
direct
0.000 0.000 0.000
0.000 0.000 0.500
0.000 0.500 0.000
0.500 0.000 0.000
0.500 0.500 0.500

=====

(2)
RbPtS2N (PBE, optimized geometry); relative energy among the computed polymorphs = 0.00 kJ per mole of atoms; DFT total energy = -22.08 eV per cell; Fermi-level density of states = 4.95 states/eV/cell
1.0
5.320 0.000 0.000
0.000 5.320 0.000
0.000 0.000 3.705
Rb Pt S N
1 1 2 1
direct
0.000 0.000 0.000
0.500 0.500 0.500
0.000 0.500 0.500
0.500 0.000 0.500
0.500 0.500 0.000

=====

(3)
RbPtSeN2 (PBE, optimized geometry); relative energy among the computed polymorphs = 0.00 kJ per mole of atoms; DFT total energy = -21.43 eV per cell; Fermi-level density of states = 7.70 states/eV/cell
1.0
4.112 0.000 0.000
0.000 4.112 0.000
0.000 0.000 5.479
Rb Pt Se N
1 1 1 2
direct
0.000 0.000 0.000
0.500 0.500 0.500
0.500 0.500 0.000
0.000 0.500 0.500
0.500 0.000 0.500

=====

(4)
RbPtSeN2 (PBE, optimized geometry); relative energy among the computed polymorphs = 158.39 kJ per mole of atoms; DFT total energy = -13.22 eV per cell; Fermi-level density of states = 4.24 states/eV/cell
1.0
4.362 0.000 0.000
0.000 4.362 0.000
0.000 0.000 6.628
Rb Pt Se N
1 1 1 2
direct
0.000 0.000 0.000
0.500 0.500 0.500
0.000 0.000 0.500
0.000 0.500 0.000
0.500 0.000 0.000

=====

(5)
RbTePtN2 (PBE, optimized geometry); relative energy among the computed polymorphs = 118.94 kJ per mole of atoms; DFT total energy = -13.88 eV per cell; Fermi-level density of states = 6.13 states/eV/cell
1.0
4.813 0.000 0.000
0.000 4.813 0.000
0.000 0.000 7.311
Rb Te Pt N
1 1 1 2
direct
0.000 0.000 0.000
0.000 0.000 0.500
0.500 0.500 0.500
0.000 0.500 0.000
0.500 0.000 0.000

=====

(6)
RbTePtN2 (PBE, optimized geometry); relative energy among the computed polymorphs = 0.00 kJ per mole of atoms; DFT total energy = -20.04 eV per cell; Fermi-level density of states = 6.67 states/eV/cell
1.0
4.280 0.000 0.000
0.000 4.280 0.000
0.000 0.000 5.626
Rb Te Pt N
1 1 1 2
direct
0.000 0.000 0.000
0.500 0.500 0.000
0.500 0.500 0.500
0.000 0.500 0.500
0.500 0.000 0.500

=====

(7)
Rb2TlPtN (PBE, optimized geometry); DFT total energy = -18.67 eV per cell; Fermi-level density of states = 2.07 states/eV/cell
1.0
6.506 0.000 0.000
0.000 6.506 0.000
0.000 0.000 3.742
Rb Tl Pt N
2 1 1 1
direct
0.000 0.500 0.000
0.500 0.000 0.000
0.000 0.000 0.500
0.500 0.500 0.500
0.500 0.500 0.000

=====

(8)
RbZnPtN2 (PBE, optimized geometry); DFT total energy = -11.67 eV per cell; Fermi-level density of states = 3.54 states/eV/cell
1.0
5.065 0.000 0.000
0.000 5.065 0.000
0.000 0.000 6.118
Rb Zn Pt N
1 1 1 2
direct
0.000 0.000 0.000
0.500 0.500 0.500
0.000 0.000 0.500
0.000 0.500 0.000
0.500 0.000 0.000

=====

(9)
Rb2ZnPtN (PBE, optimized geometry); DFT total energy = -17.55 eV per cell; Fermi-level density of states = 1.46 states/eV/cell
1.0
6.289 0.000 0.000
0.000 6.289 0.000
0.000 0.000 3.760
Rb Zn Pt N
2 1 1 1
direct
0.000 0.500 0.000
0.500 0.000 0.000
0.000 0.000 0.500
0.500 0.500 0.500
0.500 0.500 0.000

=====

(10)
RbZnPt2N (PBE, optimized geometry); DFT total energy = -10.44 eV per cell; Fermi-level density of states = 4.55 states/eV/cell
1.0
5.294 0.000 0.000
0.000 5.294 0.000
0.000 0.000 4.957
Rb Zn Pt N
1 1 2 1
direct
0.000 0.000 0.000
0.500 0.500 0.500
0.000 0.500 0.000
0.500 0.000 0.000
0.000 0.000 0.500

=====

(11)
Rb2ZrPtN (PBE, optimized geometry); DFT total energy = -21.30 eV per cell; Fermi-level density of states = 4.24 states/eV/cell
1.0
6.753 0.000 0.000
0.000 6.753 0.000
0.000 0.000 3.683
Rb Zr Pt N
2 1 1 1
direct
0.000 0.500 0.000
0.500 0.000 0.000
0.000 0.000 0.500
0.500 0.500 0.500
0.500 0.500 0.000

=====

(12)
RePt3N (PBE, optimized geometry); relative energy among the computed polymorphs = 122.96 kJ per mole of atoms; DFT total energy = -27.53 eV per cell; Fermi-level density of states = 4.21 states/eV/cell
1.0
4.853 0.000 0.000
0.000 4.853 0.000
0.000 0.000 4.853
Re Pt N
1 3 1
direct
0.000 0.000 0.000
0.000 0.000 0.500
0.000 0.500 0.000
0.500 0.000 0.000
0.500 0.500 0.500

=====

(13)
RePt3N (PBE, optimized geometry); relative energy among the computed polymorphs = 0.00 kJ per mole of atoms; DFT total energy = -33.90 eV per cell; Fermi-level density of states = 6.02 states/eV/cell
1.0
4.183 0.000 0.000
0.000 4.183 0.000
0.000 0.000 4.183
Re Pt N
1 3 1
direct
0.000 0.000 0.000
0.000 0.500 0.500
0.500 0.000 0.500
0.500 0.500 0.000
0.500 0.500 0.500

=====

(14)
RePtS2N (PBE, optimized geometry); relative energy among the computed polymorphs = 73.95 kJ per mole of atoms; DFT total energy = -27.88 eV per cell; Fermi-level density of states = 3.32 states/eV/cell
1.0
4.924 0.000 0.000
0.000 4.924 0.000
0.000 0.000 3.631
Re Pt S N
1 1 2 1
direct
0.000 0.000 0.000
0.500 0.500 0.500
0.000 0.500 0.500
0.500 0.000 0.500
0.500 0.500 0.000

=====

(15)
RePtS2N (PBE, optimized geometry); relative energy among the computed polymorphs = 0.00 kJ per mole of atoms; DFT total energy = -31.72 eV per cell; Fermi-level density of states = 3.53 states/eV/cell
1.0
4.736 0.000 0.000
0.000 4.736 0.000
0.000 0.000 3.696
Re Pt S N
1 1 2 1
direct
0.000 0.000 0.000
0.500 0.500 0.500
0.000 0.500 0.000
0.500 0.000 0.000
0.000 0.000 0.500

=====

(16)
ScRe2PtN (PBE, optimized geometry); DFT total energy = -47.60 eV per cell; Fermi-level density of states = 3.03 states/eV/cell
1.0
4.020 0.000 0.000
0.000 4.020 0.000
0.000 0.000 4.359
Sc Re Pt N
1 2 1 1
direct
0.000 0.000 0.000
0.000 0.500 0.500
0.500 0.000 0.500
0.500 0.500 0.000
0.000 0.000 0.500

=====

(17)
RePtSeN2 (PBE, optimized geometry); relative energy among the computed polymorphs = 0.00 kJ per mole of atoms; DFT total energy = -35.30 eV per cell; Fermi-level density of states = 3.15 states/eV/cell
1.0
3.777 0.000 0.000
0.000 3.777 0.000
0.000 0.000 5.643
Re Pt Se N
1 1 1 2
direct
0.000 0.000 0.000
0.500 0.500 0.500
0.000 0.000 0.500
0.000 0.500 0.000
0.500 0.000 0.000

=====

(18)
RePtSeN2 (PBE, optimized geometry); relative energy among the computed polymorphs = 101.42 kJ per mole of atoms; DFT total energy = -30.04 eV per cell; Fermi-level density of states = 2.99 states/eV/cell
1.0
3.707 0.000 0.000
0.000 3.707 0.000
0.000 0.000 8.201
Re Pt Se N
1 1 1 2
direct
0.000 0.000 0.000
0.500 0.500 0.500
0.500 0.500 0.000
0.000 0.500 0.500
0.500 0.000 0.500

=====

(19)
ReSnPt2N (PBE, optimized geometry); DFT total energy = -22.75 eV per cell; Fermi-level density of states = 12.51 states/eV/cell
1.0
4.942 0.000 0.000
0.000 4.942 0.000
0.000 0.000 5.095
Re Sn Pt N
1 1 2 1
direct
0.000 0.000 0.000
0.000 0.000 0.500
0.000 0.500 0.500
0.500 0.000 0.500
0.500 0.500 0.000

=====

(20)
ReTe2PtN (PBE, optimized geometry); relative energy among the computed polymorphs = 0.00 kJ per mole of atoms; DFT total energy = -30.49 eV per cell; Fermi-level density of states = 2.94 states/eV/cell
1.0
5.302 0.000 0.000
0.000 5.302 0.000
0.000 0.000 3.695
Re Te Pt N
1 2 1 1
direct
0.000 0.000 0.000
0.000 0.500 0.000
0.500 0.000 0.000
0.500 0.500 0.500
0.000 0.000 0.500

=====

(21)
ReTe2PtN (PBE, optimized geometry); relative energy among the computed polymorphs = 69.15 kJ per mole of atoms; DFT total energy = -26.90 eV per cell; Fermi-level density of states = 2.49 states/eV/cell
1.0
5.463 0.000 0.000
0.000 5.463 0.000
0.000 0.000 3.628
Re Te Pt N
1 2 1 1
direct
0.000 0.000 0.000
0.000 0.500 0.500
0.500 0.000 0.500
0.500 0.500 0.500
0.500 0.500 0.000

=====

(22)
RePtW2N (PBE, optimized geometry); DFT total energy = -52.85 eV per cell; Fermi-level density of states = 3.22 states/eV/cell
1.0
4.111 0.000 0.000
0.000 4.111 0.000
0.000 0.000 4.074
Re Pt W N
1 1 2 1
direct
0.000 0.000 0.000
0.500 0.500 0.000
0.000 0.500 0.500
0.500 0.000 0.500
0.000 0.000 0.500

=====

(23)
PtRhN2 (PBE, optimized geometry); relative energy among the computed polymorphs = 20.90 kJ per mole of atoms; DFT total energy = -53.67 eV per cell; Fermi-level density of states = 5.01 states/eV/cell
1.0
-2.428 2.428 4.389
2.428 -2.428 4.389
2.428 2.428 -4.389
Pt Rh N
2 2 4
direct
0.000 0.000 0.000
0.750 0.250 0.500
0.250 0.750 0.500
0.500 0.500 0.000
0.140 0.625 0.015
0.375 0.390 0.515
0.610 0.125 0.985
0.875 0.860 0.485

=====

(24)
Pt3RhN (PBE, optimized geometry); relative energy among the computed polymorphs = 190.61 kJ per mole of atoms; DFT total energy = -20.68 eV per cell; Fermi-level density of states = 12.78 states/eV/cell
1.0
4.786 0.000 0.000
0.000 4.786 0.000
0.000 0.000 4.786
Pt Rh N
3 1 1
direct
0.000 0.000 0.500
0.000 0.500 0.000
0.500 0.000 0.000
0.000 0.000 0.000
0.500 0.500 0.500

=====

(25)
PtRhN2 (PBE, optimized geometry); relative energy among the computed polymorphs = 0.00 kJ per mole of atoms; DFT total energy = -27.70 eV per cell; Fermi-level density of states = 3.43 states/eV/cell
1.0
1.477 0.853 6.251
-1.477 0.853 6.251
0.000 -1.705 6.251
Pt Rh N
1 1 2
direct
0.000 0.000 0.000
0.500 0.500 0.500
0.104 0.104 0.104
0.896 0.896 0.896

=====

(26)
Pt2RhN2 (PBE, optimized geometry); relative energy among the computed polymorphs = 0.00 kJ per mole of atoms; DFT total energy = -66.54 eV per cell; Fermi-level density of states = 8.15 states/eV/cell
1.0
5.809 0.000 0.000
0.000 5.809 0.000
0.000 0.000 3.871
Pt Rh N
4 2 4
direct
0.167 0.333 0.000
0.333 0.833 0.000
0.667 0.167 0.000
0.833 0.667 0.000
0.000 0.000 0.500
0.500 0.500 0.500
0.182 0.318 0.500
0.318 0.818 0.500
0.682 0.182 0.500
0.818 0.682 0.500

=====

(27)
Pt3RhN (PBE, optimized geometry); relative energy among the computed polymorphs = 0.00 kJ per mole of atoms; DFT total energy = -30.56 eV per cell; Fermi-level density of states = 5.94 states/eV/cell
1.0
4.161 0.000 0.000
0.000 4.161 0.000
0.000 0.000 4.161
Pt Rh N
3 1 1
direct
0.000 0.000 0.500
0.000 0.500 0.000
0.500 0.000 0.000
0.500 0.500 0.500
0.000 0.000 0.000

=====

(28)
Pt2RhN2 (PBE, optimized geometry); relative energy among the computed polymorphs = 38.60 kJ per mole of atoms; DFT total energy = -31.27 eV per cell; Fermi-level density of states = 7.21 states/eV/cell
1.0
-2.583 2.583 2.600
2.583 -2.583 2.600
2.583 2.583 -2.600
Pt Rh N
2 1 2
direct
0.250 0.750 0.500
0.750 0.250 0.500
0.000 0.000 0.000
0.387 0.387 0.000
0.613 0.613 0.000